Material: K3CoPb3O8
Method: DFT, PBE+U
State: relaxed

Cell and atoms, written as extended XYZ:
```
15
Lattice="-5.355 -0.323 4.171 2.485 -5.679 -2.786 4.009 3.172 5.392" Properties=species:S:1:pos:R:3 pbc="T T T"
Co 2.004 1.586 2.696
O -1.476 -2.410 3.453
O 1.102 -2.164 1.247
O 2.615 -0.420 3.325
O 0.010 0.694 2.736
O 0.037 -0.667 5.531
O 3.901 -3.357 1.882
O -2.762 0.527 4.896
O 1.129 -3.525 4.041
K 0.000 0.000 0.000
K 1.242 -2.840 -1.393
K -1.435 -3.001 0.693
Pb -0.673 1.424 4.782
Pb 0.569 -1.415 3.389
Pb 3.247 -1.254 1.303
```

Calculated values
Theoretical density, Mg/m³: 6.1
Raw total energy, eV/atom: -5.08
Fermi-level density of states, states/eV per cell: 1.94